(1)
Below is a relaxed structure of TbPr2Ge2, with properties calculated at the PBE level. Values from VASP.

Geometry as Quantum ESPRESSO input:
```
&SYSTEM
  ibrav = 0, nat = 10, ntyp = 3
/
ATOMIC_SPECIES
Ge 72.64 Ge.upf
Pr 140.91 Pr.upf
Tb 158.93 Tb.upf
ATOMIC_POSITIONS angstrom
Ge 2.7319 -4.7357 0.8494
Ge 1.7613 -9.4589 2.7377
Ge -0.4755 -5.7573 -1.8461
Ge 4.9687 -8.4373 5.4332
Pr 0.5199 -7.0148 0.8632
Pr 4.7876 -11.2521 3.0108
Pr 3.9733 -7.1798 2.7239
Pr -0.2943 -2.9425 0.5763
Tb 3.1911 -9.6490 0.2386
Tb 1.3021 -4.5456 3.3485
CELL_PARAMETERS angstrom
-1.8211 -2.5937 3.1500
-1.5069 -5.9598 -2.6091
7.8213 -5.6412 3.0462
```

* magnetization: 0.0 μB per formula unit
* total DFT energy (no corrections): -5.39 eV/atom
* Fermi-level density of states: 0.629 states/eV per atom
* energy of formation: -0.701 eV per atom



(2)
Below is a relaxed structure of KScPt2, with properties calculated at the PBE level. Values from VASP.

Geometry as Quantum ESPRESSO input:
```
&SYSTEM
  ibrav = 0, nat = 4, ntyp = 3
/
ATOMIC_SPECIES
Pt 195.08 Pt.upf
K 39.10 K.upf
Sc 44.96 Sc.upf
ATOMIC_POSITIONS angstrom
Pt 2.3946 1.3825 0.9776
Pt 0.0000 0.0000 0.0000
K 4.7891 2.7650 1.9551
Sc 7.1837 4.1475 2.9327
CELL_PARAMETERS angstrom
4.7891 0.0000 0.0000
2.3946 4.1475 0.0000
2.3946 1.3825 3.9103
```

* magnetization: 0.0 μB per formula unit
* total DFT energy (no corrections): -4.97 eV/atom
* Fermi-level density of states: 0.503 states/eV per atom
* energy of formation: -0.090 eV per atom



(3)
Below is a relaxed structure of PmBi2PdO6, with properties calculated at the PBE level. Values from VASP.

Geometry as Quantum ESPRESSO input:
```
&SYSTEM
  ibrav = 0, nat = 10, ntyp = 4
/
ATOMIC_SPECIES
Pm 145.00 Pm.upf
O 16.00 O.upf
Pd 106.42 Pd.upf
Bi 208.98 Bi.upf
ATOMIC_POSITIONS angstrom
Pm 9.1845 4.5873 3.2015
O 4.4550 3.2876 3.8738
O 6.8069 1.7285 3.9995
O 8.4575 3.0277 1.5203
O 7.1706 4.4037 4.2201
O 4.5985 5.1502 1.1946
O 5.2299 1.0737 1.5055
Pd 2.9547 1.6142 0.2396
Bi 3.2326 1.4785 4.8501
Bi 6.1077 2.9916 2.2514
CELL_PARAMETERS angstrom
6.1822 -0.2501 0.1913
2.8813 4.9427 0.0196
3.1798 1.4891 5.1590
```

* formation energy without anion corrections: -1.4413 eV per atom
* magnetization: 1.0 μB per formula unit
* total DFT energy (no corrections): -6.19 eV/atom



(4)
Below is a relaxed structure of CaDy2Cu, with properties calculated at the PBE level. Values from VASP.

Geometry as Quantum ESPRESSO input:
```
&SYSTEM
  ibrav = 0, nat = 4, ntyp = 3
/
ATOMIC_SPECIES
Cu 63.55 Cu.upf
Dy 162.50 Dy.upf
Ca 40.08 Ca.upf
ATOMIC_POSITIONS angstrom
Cu 0.0000 0.0000 0.0000
Dy 5.5799 3.2215 8.1953
Dy 1.8600 1.0739 1.8658
Ca 3.7199 2.1477 5.0305
CELL_PARAMETERS angstrom
3.7199 0.0000 0.0000
1.8600 3.2215 0.0000
1.8600 1.0738 10.0611
```

* magnetization: 0.0 μB per formula unit
* total DFT energy (no corrections): -3.76 eV/atom
* Fermi-level density of states: 1.393 states/eV per atom
* energy of formation: 0.070 eV per atom